1.
The following is a DFT calculation (GGA-PBE) of a relaxed structure of SiOsPt4.

POSCAR file:
```
SiOsPt4
1.0
0.000 3.699 3.699
3.699 0.000 3.699
3.699 3.699 0.000
Si Os Pt
1 1 4
direct
0.000 0.000 0.000 Si
0.750 0.750 0.750 Os
0.375 0.375 0.375 Pt
0.375 0.375 0.874 Pt
0.375 0.874 0.375 Pt
0.874 0.375 0.375 Pt
```

Summary:
Energy relative to the elements, uncorrected (eV/f.u.): 4.0
Electronic total energy (Ha/atom): -0.2254

***

2.
The following is a DFT calculation (GGA-PBE) of a relaxed structure of Ac2PmHo.

POSCAR file:
```
Ac2PmHo
1.0
0.000 4.257 4.257
4.257 0.000 4.257
4.257 4.257 0.000
Ac Pm Ho
2 1 1
direct
0.250 0.250 0.250 Ac
0.750 0.750 0.750 Ac
0.000 0.000 0.000 Pm
0.500 0.500 0.500 Ho
```

Summary:
Offset from the most stable computed form (meV per atom): 66.0
Formation enthalpy at 0 K (eV/f.u.): 0.42
Electronic total energy (Ha/atom): -0.1573